Entry 1:
Below is crystalline LaCrRh2 at its relaxed geometry, with properties calculated at the PBEsol level.

E_form   0.070 eV per atom
E above lowest polymorph   0 meV/atom
DOS(E_F)   1.133 states/eV per atom
SG   I-4m2
Calculated total energy   -31.584 eV/f.u.
Total magnetic moment   3.68 μB/cell

abc: 4.0214 4.0214 5.1173
angles: 113.14 113.14 90.00
Last column: magnetic moment on the atom in μB.
Positions (direct):
Rh 0.7500 0.2500 0.5000  -0.04
Rh 0.0000 0.0000 0.0000  -0.08
Cr 0.5000 0.5000 0.0000  3.34
La 0.2500 0.7500 0.5000  0.11

Entry 2:
Below is crystalline Ga2BiPt2 at its relaxed geometry, with properties calculated at the PBEsol level.

E_form   -0.450 eV per atom
E above lowest polymorph   0 meV/atom
DOS(E_F)   0.404 states/eV per atom
SG   I4/mmm
Calculated total energy   -27.143 eV/f.u.
Total magnetic moment   0.00 μB/cell

abc: 3.8661 3.8661 6.6842
angles: 106.81 106.81 90.00
Positions (direct):
Pt 0.6156 0.6156 0.2311
Pt 0.3844 0.3844 0.7689
Bi 0.0000 0.0000 0.0000
Ga 0.2500 0.7500 0.5000
Ga 0.7500 0.2500 0.5000

Entry 3:
Below is crystalline HfCuGe2 at its relaxed geometry, with properties calculated at the PBEsol level.

E_form   -0.477 eV per atom
DOS(E_F)   0.454 states/eV per atom
SG   P4/nmm
Calculated total energy   -26.623 eV/f.u.
Total magnetic moment   0.00 μB/cell

abc: 3.7526 3.7526 8.9461
angles: 90.00 90.00 90.00
Positions (direct):
Ge 0.5000 0.5000 0.5000
Ge 0.5000 0.0000 0.1773
Ge 0.0000 0.0000 0.5000
Ge 0.0000 0.5000 0.8227
Cu 0.5000 0.5000 0.0000
Cu 0.0000 0.0000 0.0000
Hf 0.5000 0.0000 0.7382
Hf 0.0000 0.5000 0.2618

Entry 4:
Below is crystalline NiPd at its relaxed geometry, with properties calculated at the PBEsol level.

E_form   0.069 eV per atom
DOS(E_F)   1.536 states/eV per atom
SG   R-3m
Calculated total energy   -11.979 eV/f.u.
Total magnetic moment   1.04 μB/cell

abc: 2.6467 2.6467 4.4484
angles: 72.69 72.69 60.00
Last column: magnetic moment on the atom in μB.
Positions (direct):
Ni 0.0000 0.0000 0.0000  0.82
Pd 0.5000 0.5000 0.5000  0.25

Entry 5:
Below is crystalline Ce2Te7Cl2O17 at its relaxed geometry, with properties calculated at the PBEsol level.

Formation energy (no corrections)   -1.526 eV/atom
SG   P2/c
Calculated total energy   -173.843 eV/f.u.
Total magnetic moment   0.00 μB/cell

abc: 5.3131 9.6498 18.8656
angles: 95.83 90.00 90.00
Positions (direct):
O 0.4085 0.0865 0.9666
O 0.3328 0.7599 0.9024
O 0.0720 0.5581 0.4082
O 0.5915 0.9135 0.0334
O 0.7079 0.8856 0.7847
O 0.3328 0.7401 0.5976
O 0.7774 0.4719 0.1965
O 0.8581 0.8103 0.6491
O 0.9280 0.4419 0.5918
O 0.6190 0.5484 0.3364
O 0.1419 0.1897 0.3509
O 0.6883 0.7500 0.2500
O 0.3117 0.2500 0.7500
O 0.6672 0.2599 0.4024
O 0.2226 0.9719 0.6965
O 0.6190 0.9516 0.1636
O 0.8965 0.7448 0.9804
O 0.8581 0.6897 0.8509
O 0.7774 0.0281 0.3035
O 0.1035 0.2552 0.0196
O 0.4085 0.4135 0.5334
O 0.1419 0.3103 0.1491
O 0.0720 0.9419 0.0918
O 0.9280 0.0581 0.9082
O 0.7079 0.6144 0.7153
O 0.8965 0.7552 0.5196
O 0.6672 0.2401 0.0976
O 0.5915 0.5865 0.4666
O 0.1035 0.2448 0.4804
O 0.3810 0.0484 0.8364
O 0.3810 0.4516 0.6636
O 0.2226 0.5281 0.8035
O 0.2921 0.1144 0.2153
O 0.2921 0.3856 0.2847
Te 0.1842 0.3074 0.5848
Te 0.8975 0.3840 0.0868
Te 0.5034 0.5677 0.2413
Te 0.1025 0.8840 0.5868
Te 0.5034 0.9323 0.2587
Te 0.8158 0.8074 0.0848
Te 0.1842 0.1926 0.9152
Te 0.4966 0.4323 0.7587
Te 0.9498 0.7500 0.7500
Te 0.0502 0.2500 0.2500
Te 0.4966 0.0677 0.7413
Te 0.1025 0.6160 0.9132
Te 0.8158 0.6926 0.4152
Te 0.8975 0.1160 0.4132
Ce 0.6402 0.5973 0.5898
Ce 0.6402 0.9027 0.9102
Ce 0.3598 0.4027 0.4102
Ce 0.3598 0.0973 0.0898
Cl 0.3206 0.6063 0.0817
Cl 0.3206 0.8937 0.4183
Cl 0.6794 0.3937 0.9183
Cl 0.6794 0.1063 0.5817

Entry 6:
Below is crystalline Rb3LiPb at its relaxed geometry, with properties calculated at the PBEsol level.

E_form   0.403 eV per atom
DOS(E_F)   0.566 states/eV per atom
SG   Pm-3m
Calculated total energy   -7.026 eV/f.u.
Total magnetic moment   2.09 μB/cell

abc: 6.6407 6.6407 6.6407
angles: 90.00 90.00 90.00
Last column: magnetic moment on the atom in μB.
Positions (direct):
Rb 0.0000 0.5000 0.0000  0.01
Rb 0.0000 0.0000 0.5000  0.01
Rb 0.5000 0.0000 0.0000  0.01
Li 0.0000 0.0000 0.0000  0.02
Pb 0.5000 0.5000 0.5000  0.49

Entry 7:
Below is crystalline PaH3 at its relaxed geometry, with properties calculated at the PBEsol level.

DOS(E_F)   0.829 states/eV per atom
SG   Pm-3n
Calculated total energy   -21.761 eV/f.u.
Total magnetic moment   0.01 μB/cell

abc: 6.5203 6.5203 6.5203
angles: 90.00 90.00 90.00
Positions (direct):
H 0.3447 0.5000 0.1935
H 0.8065 0.3447 0.5000
H 0.1935 0.3447 0.5000
H 0.5000 0.8065 0.3447
H 0.1553 0.3065 0.0000
H 0.1553 0.6935 0.0000
H 0.0000 0.1553 0.6935
H 0.3065 0.0000 0.1553
H 0.8447 0.3065 0.0000
H 0.0000 0.8447 0.3065
H 0.0000 0.1553 0.3065
H 0.6553 0.5000 0.8065
H 0.8447 0.6935 0.0000
H 0.6935 0.0000 0.1553
H 0.0000 0.8447 0.6935
H 0.5000 0.8065 0.6553
H 0.5000 0.1935 0.3447
H 0.8065 0.6553 0.5000
H 0.1935 0.6553 0.5000
H 0.3065 0.0000 0.8447
H 0.6553 0.5000 0.1935
H 0.6935 0.0000 0.8447
H 0.3447 0.5000 0.8065
H 0.5000 0.1935 0.6553
Pa 0.5000 0.2500 0.0000
Pa 0.7500 0.0000 0.5000
Pa 0.5000 0.7500 0.0000
Pa 0.5000 0.5000 0.5000
Pa 0.0000 0.5000 0.2500
Pa 0.0000 0.0000 0.0000
Pa 0.0000 0.5000 0.7500
Pa 0.2500 0.0000 0.5000

Entry 8:
Below is crystalline NaCaHfPt2 at its relaxed geometry, with properties calculated at the PBEsol level.

E_form   0.405 eV per atom
DOS(E_F)   0.791 states/eV per atom
SG   P4/mmm
Calculated total energy   -25.939 eV/f.u.
Total magnetic moment   0.00 μB/cell

abc: 4.9381 4.9381 5.5006
angles: 90.00 90.00 90.00
Positions (direct):
Pt 0.5000 0.0000 0.0000
Pt 0.0000 0.5000 0.0000
Ca 0.0000 0.0000 0.5000
Na 0.5000 0.5000 0.5000
Hf 0.0000 0.0000 0.0000

Entry 9:
Below is crystalline Cr3Se4 at its relaxed geometry, with properties calculated at the PBEsol level.

Formation energy (no corrections)   -0.381 eV/atom
DOS(E_F)   0.356 states/eV per atom
SG   P-3m1
Calculated total energy   -48.796 eV/f.u.
Total magnetic moment   9.19 μB/cell

abc: 3.5939 3.5939 11.5423
angles: 90.00 90.00 120.00
Last column: magnetic moment on the atom in μB.
Positions (direct):
Se 0.6667 0.3333 0.1234  -0.14
Se 0.3333 0.6667 0.8766  -0.14
Se 0.3333 0.6667 0.3728  -0.05
Se 0.6667 0.3333 0.6272  -0.05
Cr 0.0000 0.0000 0.5000  3.02
Cr 0.0000 0.0000 0.2345  2.98
Cr 0.0000 0.0000 0.7655  2.98

Entry 10:
Below is crystalline Hg8Te at its relaxed geometry, with properties calculated at the PBEsol level.

Formation energy (no corrections)   0.045 eV/atom
DOS(E_F)   0.350 states/eV per atom
SG   I4/mmm
Calculated total energy   -7.660 eV/f.u.
Total magnetic moment   0.00 μB/cell

abc: 4.0738 7.5940 7.5940
angles: 85.87 74.44 74.44
Positions (direct):
Hg 0.3291 0.3418 0.0000
Hg 0.3366 0.6634 0.6634
Hg 0.3291 0.0000 0.3418
Hg 0.0000 0.3366 0.6634
Hg 0.6709 0.0000 0.6582
Hg 0.0000 0.6634 0.3366
Hg 0.6634 0.3366 0.3366
Hg 0.6709 0.6582 0.0000
Te 0.0000 0.0000 0.0000

Entry 11:
Below is crystalline Hg3SeS at its relaxed geometry, with properties calculated at the PBEsol level.

Formation energy (no corrections)   0.460 eV/atom
DOS(E_F)   0.193 states/eV per atom
SG   Pm-3m
Calculated total energy   -7.636 eV/f.u.
Total magnetic moment   0.00 μB/cell

abc: 5.1840 5.1840 5.1840
angles: 90.00 90.00 90.00
Positions (direct):
Hg 0.0000 0.0000 0.5000
Hg 0.5000 0.0000 0.0000
Hg 0.0000 0.5000 0.0000
S 0.5000 0.5000 0.5000
Se 0.0000 0.0000 0.0000

Entry 12:
Below is crystalline Zr3Al at its relaxed geometry, with properties calculated at the PBEsol level.

E_form   -0.270 eV per atom
DOS(E_F)   0.909 states/eV per atom
SG   I4/mmm
Calculated total energy   -32.442 eV/f.u.
Total magnetic moment   0.00 μB/cell

abc: 4.2579 4.2579 5.4115
angles: 113.17 113.17 90.00
Positions (direct):
Al 0.0000 0.0000 0.0000
Zr 0.5000 0.5000 0.0000
Zr 0.2500 0.7500 0.5000
Zr 0.7500 0.2500 0.5000

Entry 13:
Below is crystalline Pr2CdNi2 at its relaxed geometry, with properties calculated at the PBEsol level.

E_form   -0.328 eV per atom
DOS(E_F)   0.641 states/eV per atom
SG   P4/mbm
Calculated total energy   -25.521 eV/f.u.
Total magnetic moment   0.00 μB/cell

abc: 3.8043 7.4088 7.4088
angles: 90.00 90.00 90.00
Positions (direct):
Cd 0.0000 0.5000 0.5000
Cd 0.0000 0.0000 0.0000
Pr 0.5000 0.3231 0.8231
Pr 0.5000 0.1769 0.3231
Pr 0.5000 0.6769 0.1769
Pr 0.5000 0.8231 0.6769
Ni 0.0000 0.8827 0.3827
Ni 0.0000 0.3827 0.1173
Ni 0.0000 0.6173 0.8827
Ni 0.0000 0.1173 0.6173

Entry 14:
Below is crystalline MnGe at its relaxed geometry, with properties calculated at the PBEsol level.

E_form   -0.145 eV per atom
DOS(E_F)   0.748 states/eV per atom
SG   P2_13
Calculated total energy   -14.991 eV/f.u.
Total magnetic moment   7.46 μB/cell

abc: 4.6738 4.6738 4.6738
angles: 90.00 90.00 90.00
Last column: magnetic moment on the atom in μB.
Positions (direct):
Ge 0.1567 0.3433 0.6567  -0.11
Ge 0.3433 0.6567 0.1567  -0.11
Ge 0.6567 0.1567 0.3433  -0.11
Ge 0.8433 0.8433 0.8433  -0.11
Mn 0.8624 0.6376 0.3624  1.99
Mn 0.1376 0.1376 0.1376  1.99
Mn 0.6376 0.3624 0.8624  1.99
Mn 0.3624 0.8624 0.6376  1.99

Entry 15:
Below is crystalline GeTeW2S at its relaxed geometry, with properties calculated at the PBEsol level.

Formation energy (no corrections)   2.525 eV/atom
DOS(E_F)   1.079 states/eV per atom
SG   P4/mmm
Calculated total energy   -27.837 eV/f.u.
Total magnetic moment   1.96 μB/cell

abc: 4.9227 4.9227 5.1688
angles: 90.00 90.00 90.00
Last column: magnetic moment on the atom in μB.
Positions (direct):
W 0.5000 0.0000 0.0000  0.78
W 0.0000 0.5000 0.0000  0.78
Ge 0.0000 0.0000 0.5000  -0.03
S 0.5000 0.5000 0.5000  -0.03
Te 0.0000 0.0000 0.0000  -0.01

Entry 16:
Below is crystalline NaLiHO2 at its relaxed geometry, with properties calculated at the PBEsol level.

DOS(E_F)   0.221 states/eV per atom
SG   P4/mmm
Calculated total energy   -18.788 eV/f.u.
Total magnetic moment   0.79 μB/cell

abc: 3.3736 3.4716 3.4716
angles: 90.00 90.00 90.00
Last column: magnetic moment on the atom in μB.
Positions (direct):
Na 0.5000 0.0000 0.0000  -0.01
O 0.0000 0.0000 0.5000  0.38
O 0.0000 0.5000 0.0000  0.38
H 0.0000 0.0000 0.0000  0.00
Li 0.5000 0.5000 0.5000  -0.03

Entry 17:
Below is crystalline MnAsPd3 at its relaxed geometry, with properties calculated at the PBEsol level.

E_form   0.883 eV per atom
DOS(E_F)   0.663 states/eV per atom
SG   Pm-3m
Calculated total energy   -28.331 eV/f.u.
Total magnetic moment   4.34 μB/cell

abc: 4.5434 4.5434 4.5434
angles: 90.00 90.00 90.00
Last column: magnetic moment on the atom in μB.
Positions (direct):
Mn 0.0000 0.0000 0.0000  3.50
Pd 0.0000 0.5000 0.0000  0.24
Pd 0.0000 0.0000 0.5000  0.24
Pd 0.5000 0.0000 0.0000  0.24
As 0.5000 0.5000 0.5000  0.03

Entry 18:
Below is crystalline Re2OsAu at its relaxed geometry, with properties calculated at the PBEsol level.

E_form   0.703 eV per atom
E above lowest polymorph   5 meV/atom
DOS(E_F)   1.079 states/eV per atom
SG   F-43m
Calculated total energy   -39.991 eV/f.u.
Total magnetic moment   0.00 μB/cell

abc: 4.4031 4.4031 4.4031
angles: 60.00 60.00 60.00
Positions (direct):
Re 0.7500 0.7500 0.7500
Re 0.0000 0.0000 0.0000
Au 0.5000 0.5000 0.5000
Os 0.2500 0.2500 0.2500

Entry 19:
Below is crystalline Cr2SiP at its relaxed geometry, with properties calculated at the PBEsol level.

Formation energy (no corrections)   -0.175 eV/atom
E above lowest polymorph   59 meV/atom
DOS(E_F)   0.926 states/eV per atom
SG   Imm2
Calculated total energy   -32.723 eV/f.u.
Total magnetic moment   0.00 μB/cell

abc: 3.0089 3.8042 4.6294
angles: 114.26 108.96 90.00
Positions (direct):
Cr 0.0007 0.0007 0.0015
Cr 0.7587 0.2587 0.5173
P 0.4862 0.4862 0.9724
Si 0.2544 0.7544 0.5088

Entry 20:
Below is crystalline SnMoSe2Br at its relaxed geometry, with properties calculated at the PBEsol level.

Formation energy (no corrections)   0.084 eV/atom
DOS(E_F)   1.000 states/eV per atom
SG   P4/mmm
Calculated total energy   -25.177 eV/f.u.
Total magnetic moment   0.01 μB/cell

abc: 4.8474 4.8474 5.2045
angles: 90.00 90.00 90.00
Positions (direct):
Se 0.0000 0.5000 0.0000
Se 0.5000 0.0000 0.0000
Br 0.0000 0.0000 0.5000
Sn 0.5000 0.5000 0.5000
Mo 0.0000 0.0000 0.0000